Record 1
Material: MgSe2F
Method: DFT, PBE
State: optimized geometry

Results
Final energy, eV per cell: -13.08
Density of states at the Fermi level, states/eV per cell: 2.94
SG: No. 166
Offset from the most stable computed form, meV/atom: 254

```
MgSe2F
1.0
3.403 -2.317 5.711
2.554 -5.666 3.308
5.817 -3.177 2.373
Mg Se F
1 2 1
Direct
0.500 0.500 0.500 Mg
0.894 0.894 0.894 Se
0.106 0.106 0.106 Se
0.000 0.000 0.000 F
```

---

Record 2
Material: MgSeF3
Method: DFT, PBE
State: optimized geometry

Results
Final energy, eV per cell: -20.61
Density of states at the Fermi level, states/eV per cell: 0.00
SG: No. 221
Offset from the most stable computed form, meV/atom: 0

```
MgSeF3
1.0
-1.006 -2.922 2.690
0.961 -2.871 -2.760
3.854 -0.047 1.391
F Mg Se
3 1 1
Direct
0.500 0.000 0.000 F
0.000 0.000 0.500 F
0.000 0.500 0.000 F
0.000 0.000 0.000 Mg
0.500 0.500 0.500 Se
```

---

Record 3
Material: MgSe2F
Method: DFT, PBE
State: optimized geometry

Results
Final energy, eV per cell: -10.66
Density of states at the Fermi level, states/eV per cell: 1.99
SG: No. 166
Offset from the most stable computed form, meV/atom: 859

```
MgSe2F
1.0
1.785 0.000 9.115
-0.893 1.546 9.115
-0.893 -1.546 9.115
F Mg Se
1 1 2
Direct
0.500 0.500 0.500 F
0.000 0.000 0.000 Mg
0.907 0.907 0.907 Se
0.093 0.093 0.093 Se
```

---

Q: The lowest offset from the most stable computed form belongs to which entry?
A: MgSeF3